DFT (GGA-PBE) results for crystalline Y2C at its relaxed geometry.

- ΔE_f: 0.4973 eV per atom

abc: 4.0352 4.0352 9.7378
angles: 90.00 90.00 120.00
Space group P6_3/mmc (No. 194)
One atom of each set of equivalent atoms:
Y: 0.0000 0.0000 0.0000
Y: 0.3333 0.6667 0.2500
C: 0.3333 0.6667 0.7500


DFT (GGA-PBE) results for crystalline Tb4Zn5Ni2 at its relaxed geometry.

- ΔE_f: -0.3483 eV per atom

abc: 6.978 3.670 8.838
angles: 90.00 94.15 90.00
Space group P2/m (No. 10)
One atom of each set of equivalent atoms:
Tb: 0.171 0.000 0.360
Tb: 0.244 0.000 0.941
Zn: 0.194 0.500 0.656
Zn: 0.441 0.500 0.195
Zn: 0.500 0.500 0.500
Ni: 0.065 0.500 0.136


DFT (GGA-PBE) results for crystalline Mg4Zn4Ru at its relaxed geometry.

- ΔE_f: -0.0497 eV per atom

abc: 7.237 8.633 5.460
angles: 90.00 103.08 90.00
Space group Cm (No. 8)
One atom of each set of equivalent atoms:
Mg: 0.000 0.000 0.000
Mg: 0.048 0.203 0.495
Mg: 0.153 0.500 0.216
Zn: 0.151 0.500 0.707
Zn: 0.278 0.237 0.048
Zn: 0.321 0.000 0.798
Ru: 0.331 0.000 0.339


DFT (GGA-PBE) results for crystalline LiY2Te at its relaxed geometry.

- Relative energy among the computed polymorphs: 0.121 eV per atom

abc: 4.110 4.110 6.458
angles: 90.00 90.00 90.00
Space group P4mm (No. 99)
One atom of each set of equivalent atoms:
Li: 0.000 0.000 0.000
Y: 0.000 0.000 0.481
Y: 0.500 0.500 0.780
Te: 0.500 0.500 0.279


M_tot for the records above, in order: 0.0; 0.0; 0.0; 0.0 μB per formula unit